# ZnGaCuPd (PBE, optimized geometry)
# spin magnetization	0.000	μB/f.u.
# energy of formation	-0.199	eV per atom
# calculated density	8260	kg/m³
# total DFT energy (no corrections)	-28.77	eV per cell
data_ZnGaCuPd
_chemical_formula_sum 'Zn2 Ga2 Cu2 Pd2'
_cell_length_a 4.424
_cell_length_b 2.868
_cell_length_c 9.668
_cell_angle_alpha 90.00
_cell_angle_beta 90.00
_cell_angle_gamma 90.00
_space_group_name_H-M_alt 'A m m 2'
_space_group_IT_number 38
loop_
_space_group_symop_operation_xyz
'x,y,z'
'-x,-y,z'
'-x,y,z'
'x,-y,z'
'x,y+1/2,z+1/2'
'-x,-y+1/2,z+1/2'
'-x,y+1/2,z+1/2'
'x,-y+1/2,z+1/2'
loop_
_atom_site_label
_atom_site_type_symbol
_atom_site_fract_x
_atom_site_fract_y
_atom_site_fract_z
Zn1 Zn 0.000 0.000 0.000
Ga1 Ga 0.500 0.000 0.161
Cu1 Cu 0.000 0.000 0.275
Pd1 Pd 0.500 0.000 0.431